## Tl2InSe (PBE-GGA)

Data for a relaxed structure of Tl2InSe.

Calculated values
energy above the most stable polymorph in this dataset = 32 meV/atom
E_form (uncorrected) = -0.196 eV per atom

Unit cell a=3.939 b=3.939 c=7.381 alpha=90.00 beta=90.00 gamma=89.99
Fractional positions:
Tl  0.500  0.500  0.271
Tl  0.000  0.000  0.982
Se  0.500  0.500  0.711
In  0.000  0.000  0.536


## LaGaN2 (PBE-GGA)

Data for a relaxed structure of LaGaN2.

Calculated values
E_form (uncorrected) = -0.682 eV per atom

Unit cell a=6.314 b=6.314 c=6.314 alpha=36.30 beta=36.30 gamma=36.30
Fractional positions:
Ga  0.000  0.000  0.000
N  0.900  0.900  0.900
N  0.100  0.100  0.100
La  0.500  0.500  0.500


## CrRh2 (PBE-GGA)

Data for a relaxed structure of CrRh2.

Calculated values
energy of formation from the pure elements = -0.118 eV per atom

Unit cell a=4.667 b=4.241 c=8.074 alpha=90.00 beta=90.00 gamma=90.00
Fractional positions:
Rh  0.651  0.250  0.328
Rh  0.849  0.750  0.828
Rh  0.168  0.250  0.509
Rh  0.832  0.750  0.491
Rh  0.349  0.750  0.672
Rh  0.332  0.750  0.009
Rh  0.151  0.250  0.172
Rh  0.668  0.250  0.991
Cr  0.826  0.750  0.161
Cr  0.674  0.250  0.661
Cr  0.326  0.750  0.339
Cr  0.174  0.250  0.839


## LaSc2CrN (PBE-GGA)

Data for a relaxed structure of LaSc2CrN.

Calculated values
E_form (uncorrected) = 0.995 eV per atom

Unit cell a=4.561 b=5.352 c=4.561 alpha=90.00 beta=90.00 gamma=90.00
Fractional positions:
N  0.500  0.500  0.500
Sc  0.500  0.000  0.000
Sc  0.000  0.000  0.500
La  0.000  0.500  0.000
Cr  0.000  0.000  0.000


## CeHoNi2 (PBE-GGA)

Data for a relaxed structure of CeHoNi2.

Calculated values
energy above the most stable polymorph in this dataset = 77 meV/atom
energy of formation from the pure elements = -0.325 eV per atom

Unit cell a=3.361 b=4.803 c=4.803 alpha=90.00 beta=90.00 gamma=90.00
Last column: magnetic moment on the atom in μB.
Fractional positions:
Ni  0.000  0.000  0.500  0.01
Ni  0.000  0.500  0.000  0.01
Ho  0.500  0.500  0.500  0.00
Ce  0.500  0.000  0.000  -0.19


## Y5CdPt2 (PBE-GGA)

Data for a relaxed structure of Y5CdPt2.

Calculated values
energy of formation from the pure elements = -0.767 eV per atom

Unit cell a=7.912 b=7.912 c=8.725 alpha=116.96 beta=116.96 gamma=90.00
Fractional positions:
Y  0.000  0.000  0.000
Y  0.500  0.500  0.000
Y  0.203  0.023  0.726
Y  0.523  0.703  0.726
Y  0.797  0.977  0.274
Y  0.703  0.203  0.726
Y  0.477  0.297  0.274
Y  0.297  0.797  0.274
Y  0.977  0.477  0.274
Y  0.023  0.523  0.726
Pt  0.364  0.864  0.000
Pt  0.864  0.636  0.000
Pt  0.636  0.136  0.000
Pt  0.136  0.364  0.000
Cd  0.750  0.750  0.500
Cd  0.250  0.250  0.500


## PrCdIn2Pd4 (PBE-GGA)

Data for a relaxed structure of PrCdIn2Pd4.

Calculated values
energy of formation from the pure elements = -0.570 eV per atom

Unit cell a=4.804 b=4.804 c=8.243 alpha=73.06 beta=73.06 gamma=60.00
Fractional positions:
Pd  0.382  0.382  0.855
Pd  0.618  0.618  0.145
Pd  0.872  0.872  0.384
Pd  0.128  0.128  0.616
In  0.248  0.248  0.255
In  0.752  0.752  0.745
Cd  0.500  0.500  0.500
Pr  0.000  0.000  0.000


## Pm2InTe (PBE-GGA)

Data for a relaxed structure of Pm2InTe.

Calculated values
energy above the most stable polymorph in this dataset = 0 meV/atom
E_form (uncorrected) = -0.977 eV per atom

Unit cell a=4.407 b=4.604 c=12.408 alpha=100.69 beta=90.00 gamma=90.00
Fractional positions:
In  0.750  0.542  0.085
In  0.250  0.458  0.915
Te  0.250  0.193  0.385
Te  0.750  0.807  0.615
Pm  0.250  0.323  0.645
Pm  0.750  0.935  0.870
Pm  0.250  0.065  0.130
Pm  0.750  0.677  0.355


## Ta2BiPSe (PBE-GGA)

Data for a relaxed structure of Ta2BiPSe.

Calculated values
E_form (uncorrected) = 0.707 eV per atom

Unit cell a=4.779 b=4.835 c=4.779 alpha=90.00 beta=90.00 gamma=90.00
Fractional positions:
Bi  0.500  0.500  0.500
Se  0.000  0.500  0.000
Ta  0.500  0.000  0.000
Ta  0.000  0.000  0.500
P  0.000  0.000  0.000


## Zr2ScInN (PBE-GGA)

Data for a relaxed structure of Zr2ScInN.

Calculated values
E_form (uncorrected) = -0.939 eV per atom

Unit cell a=4.528 b=4.528 c=4.473 alpha=90.00 beta=90.00 gamma=90.00
Fractional positions:
In  0.500  0.500  0.500
N  0.000  0.000  0.000
Sc  0.000  0.000  0.500
Zr  0.500  0.000  0.000
Zr  0.000  0.500  0.000


## CsRbNaCl3 (PBE-GGA)

Data for a relaxed structure of CsRbNaCl3.

Calculated values
E_form (uncorrected) = -1.851 eV per atom

Unit cell a=4.787 b=9.817 c=10.554 alpha=99.43 beta=90.00 gamma=90.00
Last column: magnetic moment on the atom in μB.
Fractional positions:
Cl  0.250  0.581  0.845  0.10
Cl  0.250  0.830  0.487  0.00
Cl  0.250  0.108  0.849  0.00
Cl  0.750  0.419  0.155  0.10
Cl  0.750  0.892  0.151  0.00
Cl  0.750  0.170  0.513  0.00
Cs  0.750  0.826  0.809  0.00
Cs  0.250  0.174  0.191  0.00
Rb  0.750  0.352  0.842  0.00
Rb  0.250  0.648  0.158  0.00
Na  0.250  0.100  0.599  0.00
Na  0.750  0.900  0.401  0.00


## Pm12BPb6 (PBE-GGA)

Data for a relaxed structure of Pm12BPb6.

Calculated values
energy of formation from the pure elements = -0.348 eV per atom

Unit cell a=8.572 b=8.572 c=8.572 alpha=92.50 beta=92.50 gamma=92.50
Fractional positions:
Pb  0.139  0.743  0.363
Pb  0.363  0.139  0.743
Pb  0.743  0.363  0.139
Pb  0.257  0.637  0.861
Pb  0.637  0.861  0.257
Pb  0.861  0.257  0.637
B  0.000  0.000  0.000
Pm  0.705  0.041  0.925
Pm  0.803  0.583  0.453
Pm  0.041  0.925  0.705
Pm  0.547  0.197  0.417
Pm  0.453  0.803  0.583
Pm  0.583  0.453  0.803
Pm  0.959  0.075  0.295
Pm  0.417  0.547  0.197
Pm  0.197  0.417  0.547
Pm  0.295  0.959  0.075
Pm  0.075  0.295  0.959
Pm  0.925  0.705  0.041


## Ac2HgGe3Rh4 (PBE-GGA)

Data for a relaxed structure of Ac2HgGe3Rh4.

Calculated values
energy of formation from the pure elements = -0.714 eV per atom

Unit cell a=4.328 b=4.328 c=10.945 alpha=90.00 beta=90.00 gamma=90.00
Fractional positions:
Rh  0.000  0.500  0.345
Rh  0.500  0.000  0.655
Rh  0.500  0.500  0.000
Rh  0.000  0.000  0.000
Ge  0.000  0.000  0.500
Ge  0.000  0.500  0.118
Ge  0.500  0.000  0.882
Hg  0.500  0.500  0.500
Ac  0.500  0.000  0.250
Ac  0.000  0.500  0.750


## Pa2TeAs2 (PBE-GGA)

Data for a relaxed structure of Pa2TeAs2.

Calculated values
E_form (uncorrected) = -0.721 eV per atom

Unit cell a=4.259 b=5.623 c=7.550 alpha=111.86 beta=106.38 gamma=90.00
Last column: magnetic moment on the atom in μB.
Fractional positions:
Te  0.000  0.000  0.000  -0.02
Pa  0.668  0.168  0.336  0.52
Pa  0.332  0.832  0.664  0.52
As  0.312  0.312  0.624  -0.02
As  0.688  0.688  0.376  -0.02


## BiS5Cl (PBE-GGA)

Data for a relaxed structure of BiS5Cl.

Calculated values
E_form (uncorrected) = -0.116 eV per atom

Unit cell a=5.750 b=4.665 c=11.600 alpha=91.56 beta=96.13 gamma=134.57
Fractional positions:
S  0.034  0.534  0.069
S  0.411  0.192  0.763
S  0.352  0.571  0.763
S  0.923  0.114  0.179
S  0.256  0.066  0.179
Cl  0.743  0.743  0.487
Bi  0.811  0.311  0.621


## Pm2TeO5 (PBE-GGA)

Data for a relaxed structure of Pm2TeO5.

Calculated values
energy above the most stable polymorph in this dataset = 0 meV/atom
E_form (uncorrected) = -2.519 eV per atom

Unit cell a=6.765 b=7.238 c=10.096 alpha=90.00 beta=99.72 gamma=90.00
Fractional positions:
O  0.020  0.711  0.614
O  0.627  0.423  0.715
O  0.520  0.789  0.614
O  0.562  0.650  0.917
O  0.759  0.074  0.577
O  0.946  0.606  0.131
O  0.873  0.923  0.285
O  0.980  0.289  0.386
O  0.127  0.077  0.715
O  0.938  0.150  0.083
O  0.241  0.926  0.423
O  0.741  0.574  0.423
O  0.373  0.577  0.285
O  0.062  0.850  0.917
O  0.554  0.106  0.869
O  0.446  0.894  0.131
O  0.438  0.350  0.083
O  0.480  0.211  0.386
O  0.259  0.426  0.577
O  0.054  0.394  0.869
Pm  0.436  0.134  0.631
Pm  0.754  0.378  0.959
Pm  0.936  0.366  0.631
Pm  0.246  0.622  0.041
Pm  0.254  0.122  0.959
Pm  0.746  0.878  0.041
Pm  0.064  0.634  0.369
Pm  0.564  0.866  0.369
Te  0.409  0.607  0.715
Te  0.091  0.107  0.285
Te  0.909  0.893  0.715
Te  0.591  0.393  0.285


## Sc5TcHg4 (PBE-GGA)

Data for a relaxed structure of Sc5TcHg4.

Calculated values
energy of formation from the pure elements = -0.398 eV per atom

Unit cell a=3.417 b=3.417 c=17.833 alpha=90.00 beta=90.00 gamma=90.00
Last column: magnetic moment on the atom in μB.
Fractional positions:
Hg  0.000  0.000  0.811  0.00
Hg  0.000  0.000  0.398  0.00
Hg  0.000  0.000  0.602  0.00
Hg  0.000  0.000  0.189  0.00
Sc  0.500  0.500  0.500  -0.03
Sc  0.500  0.500  0.917  0.00
Sc  0.500  0.500  0.706  0.07
Sc  0.500  0.500  0.294  0.07
Sc  0.500  0.500  0.083  0.00
Tc  0.000  0.000  0.000  0.00


## AgP2SO (PBE-GGA)

Data for a relaxed structure of AgP2SO.

Calculated values
energy above the most stable polymorph in this dataset = 0 meV/atom
E_form (uncorrected) = 0.493 eV per atom

Unit cell a=4.780 b=4.780 c=3.356 alpha=90.00 beta=90.00 gamma=90.00
Fractional positions:
S  0.000  0.000  0.000
O  0.000  0.000  0.500
P  0.000  0.500  0.000
P  0.500  0.000  0.000
Ag  0.500  0.500  0.500


## TmNi6P2 (PBE-GGA)

Data for a relaxed structure of TmNi6P2.

Calculated values
energy of formation from the pure elements = -0.541 eV per atom

Unit cell a=3.794 b=3.794 c=7.823 alpha=90.00 beta=90.00 gamma=90.00
Last column: magnetic moment on the atom in μB.
Fractional positions:
Ni  0.500  0.000  0.291  0.08
Ni  0.000  0.500  0.291  0.08
Ni  0.000  0.500  0.709  0.08
Ni  0.500  0.000  0.709  0.08
Ni  0.500  0.500  0.500  0.29
Ni  0.000  0.000  0.500  0.56
P  0.500  0.500  0.852  0.01
P  0.500  0.500  0.148  0.01
Tm  0.000  0.000  0.000  0.01


## LiIO3 (PBE-GGA)

Data for a relaxed structure of LiIO3.

Calculated values
E_form (uncorrected) = -0.956 eV per atom

Unit cell a=6.219 b=9.997 c=9.997 alpha=90.00 beta=90.00 gamma=90.00
Fractional positions:
I  0.867  0.781  0.513
I  0.367  0.987  0.281
I  0.133  0.487  0.781
I  0.367  0.013  0.719
I  0.633  0.719  0.987
I  0.633  0.281  0.013
I  0.133  0.513  0.219
I  0.867  0.219  0.487
O  0.307  0.868  0.415
O  0.693  0.415  0.132
O  0.412  0.195  0.098
O  0.912  0.402  0.695
O  0.912  0.598  0.305
O  0.855  0.834  0.951
O  0.145  0.049  0.834
O  0.307  0.132  0.585
O  0.588  0.098  0.805
O  0.588  0.902  0.195
O  0.088  0.305  0.402
O  0.855  0.166  0.049
O  0.412  0.805  0.902
O  0.193  0.632  0.085
O  0.193  0.368  0.915
O  0.693  0.585  0.868
O  0.807  0.085  0.368
O  0.088  0.695  0.598
O  0.807  0.915  0.632
O  0.145  0.951  0.166
O  0.355  0.451  0.666
O  0.355  0.549  0.334
O  0.645  0.666  0.549
O  0.645  0.334  0.451
Li  0.650  0.519  0.682
Li  0.350  0.682  0.481
Li  0.150  0.818  0.019
Li  0.850  0.019  0.182
Li  0.850  0.981  0.818
Li  0.350  0.318  0.519
Li  0.150  0.182  0.981
Li  0.650  0.481  0.318


Calculated total DFT energy (no corrections) in order - -2.935; -6.834; -8.227; -6.112; -5.844; -6.432; -4.563; -4.823; -6.589; -7.837; -3.298; -4.871; -5.892; -7.008; -3.882; -7.198; -4.721; -4.059; -6.094; -4.624 eV/atom